Record 1
Here is a relaxed structure of Ca3Nd2NpAs6 from Alexandria. Energies are from PBE.

The value obtained for the total magnetization is 1.053 μB/f.u. The value obtained for the energy of formation is -1140 meV per atom. The density of states at the Fermi level is 0.245 states/eV/atom. The calculated volume comes out at 640.7 Å³/cell.

The structure belongs to space group C2/m (No. 12); the cell edges are 7.3359, 12.6971 and 7.3040 Å and the angles 90.00°, 109.65° and 90.00°. The distinct sites, in fractional coordinates, are Ca at (0.0000, 0.0000, 0.0000), Ca at (0.0000, 0.3289, 0.0000), Nd at (0.0000, 0.1661, 0.5000), Np at (0.0000, 0.5000, 0.5000), As at (0.2328, 0.5000, 0.2660) and As at (0.2352, 0.3432, 0.7363).

Record 2
Here is a relaxed structure of CaReTc3 from Alexandria. Energies are from PBE.

The value obtained for the total magnetization is 0.002 μB/f.u. The value obtained for the energy of formation is 2776 meV per atom. The density of states at the Fermi level is 1.729 states/eV/atom. The calculated volume comes out at 88.5 Å³/cell. The energy above the most stable polymorph in this dataset is 1630.0 meV per atom.

The structure belongs to space group Pm-3m (No. 221); the cell edges are 4.4559, 4.4559 and 4.4559 Å and the angles 90.00°, 90.00° and 90.00°. The distinct sites, in fractional coordinates, are Ca at (0.0000, 0.0000, 0.0000), Re at (0.5000, 0.5000, 0.5000) and Tc at (0.0000, 0.0000, 0.5000).

Record 3
Here is a relaxed structure of Sm12Tm5In2 from Alexandria. Energies are from PBE.

The value obtained for the total magnetization is 0.000 μB/f.u. The value obtained for the energy of formation is -4 meV per atom. The density of states at the Fermi level is 1.513 states/eV/atom. The calculated volume comes out at 1215.8 Å³/cell.

The structure belongs to space group C2/m (No. 12); the cell edges are 15.3891, 9.2729 and 8.5305 Å and the angles 90.00°, 92.82° and 90.00°. The distinct sites, in fractional coordinates, are Sm at (0.0563, 0.0000, 0.3253), Sm at (0.0834, 0.5000, 0.8854), Sm at (0.1244, 0.1959, 0.6616), Sm at (0.1494, 0.3143, 0.2350), Tm at (0.0000, 0.5000, 0.5000), Tm at (0.1887, 0.0000, 0.0099), Tm at (0.2323, 0.5000, 0.5823) and In at (0.0000, 0.1753, 0.0000).

Record 4
Here is a relaxed structure of Te2IrI from Alexandria. Energies are from PBE.

The value obtained for the total magnetization is 0.000 μB/f.u. The density of states at the Fermi level is 0.251 states/eV/atom. The calculated volume comes out at 1971.0 Å³/cell. The energy above the most stable polymorph in this dataset is 216.6 meV per atom. For the uncorrected formation energy, the calculation gives 35 meV/atom.

The structure belongs to space group C2/c (No. 15); the cell edges are 10.5724, 8.5128 and 22.4739 Å and the angles 90.00°, 102.97° and 90.00°. The distinct sites, in fractional coordinates, are Te at (0.0000, 0.1518, 0.2500), Te at (0.0000, 0.3278, 0.7500), Te at (0.0287, 0.2215, 0.1026), Te at (0.1362, 0.3834, 0.9021), Te at (0.2234, 0.4232, 0.1998), Ir at (0.0345, 0.4142, 0.3153), Ir at (0.2317, 0.0947, 0.1874), I at (0.1426, 0.1837, 0.6376) and I at (0.1986, 0.0176, 0.4828).

Record 5
Here is a relaxed structure of Rb3Cd2Pb5 from Alexandria. Energies are from PBE.

The value obtained for the total magnetization is 0.000 μB/f.u. The value obtained for the energy of formation is -49 meV per atom. The density of states at the Fermi level is 0.524 states/eV/atom. The calculated volume comes out at 1601.4 Å³/cell.

The structure belongs to space group Ibam (No. 72); the cell edges are 12.8530, 15.9446 and 7.8143 Å and the angles 90.00°, 90.00° and 90.00°. The distinct sites, in fractional coordinates, are Rb at (0.0000, 0.0000, 0.2500), Rb at (0.2258, 0.3758, 0.0000), Cd at (0.1486, 0.1562, 0.0000), Pb at (0.0000, 0.2410, 0.2500), Pb at (0.0000, 0.5000, 0.2500) and Pb at (0.1239, 0.3710, 0.5000).

Record 6
Here is a relaxed structure of Mn2BePb from Alexandria. Energies are from PBE.

The value obtained for the total magnetization is 6.508 μB/f.u. The value obtained for the energy of formation is 413 meV per atom. The density of states at the Fermi level is 0.798 states/eV/atom. The calculated volume comes out at 63.2 Å³/cell. The energy above the most stable polymorph in this dataset is 16.4 meV per atom.

The structure belongs to space group P2/m (No. 10); the cell edges are 2.9798, 2.9616 and 7.1668 Å and the angles 90.00°, 90.40° and 90.00°. The distinct sites, in fractional coordinates, are Mn at (0.0038, 0.0000, 0.1805), Be at (0.5000, 0.5000, 0.0000) and Pb at (0.5000, 0.5000, 0.5000).

Record 7
Here is a relaxed structure of TbCePrDy3 from Alexandria. Energies are from PBE.

The value obtained for the total magnetization is 0.957 μB/f.u. The value obtained for the energy of formation is 60 meV per atom. The density of states at the Fermi level is 1.880 states/eV/atom. The calculated volume comes out at 773.9 Å³/cell.

The structure belongs to space group Cmcm (No. 63); the cell edges are 5.0694, 15.0918 and 10.1153 Å and the angles 90.00°, 90.00° and 90.00°. The distinct sites, in fractional coordinates, are Tb at (0.0000, 0.1674, 0.2500), Ce at (0.0000, 0.5000, 0.2500), Pr at (0.0000, 0.0000, 0.0000), Dy at (0.0000, 0.1672, 0.7500) and Dy at (0.0000, 0.3339, 0.0000).

Record 8
Here is a relaxed structure of In5Os from Alexandria. Energies are from PBE.

The value obtained for the total magnetization is 1.395 μB/f.u. The value obtained for the energy of formation is 815 meV per atom. The density of states at the Fermi level is 0.668 states/eV/atom. The calculated volume comes out at 572.1 Å³/cell. The energy above the most stable polymorph in this dataset is 575.2 meV per atom.

The structure belongs to space group F-43m (No. 216); the cell edges are 8.3015, 8.3015 and 8.3015 Å and the angles 90.00°, 90.00° and 90.00°. The distinct sites, in fractional coordinates, are In at (0.0000, 0.0000, 0.0000), In at (0.1244, 0.1244, 0.6244) and Os at (0.2500, 0.2500, 0.2500).

Copy entry 3 word for word.
Here is a relaxed structure of Sm12Tm5In2 from Alexandria. Energies are from PBE.

The value obtained for the total magnetization is 0.000 μB/f.u. The value obtained for the energy of formation is -4 meV per atom. The density of states at the Fermi level is 1.513 states/eV/atom. The calculated volume comes out at 1215.8 Å³/cell.

The structure belongs to space group C2/m (No. 12); the cell edges are 15.3891, 9.2729 and 8.5305 Å and the angles 90.00°, 92.82° and 90.00°. The distinct sites, in fractional coordinates, are Sm at (0.0563, 0.0000, 0.3253), Sm at (0.0834, 0.5000, 0.8854), Sm at (0.1244, 0.1959, 0.6616), Sm at (0.1494, 0.3143, 0.2350), Tm at (0.0000, 0.5000, 0.5000), Tm at (0.1887, 0.0000, 0.0099), Tm at (0.2323, 0.5000, 0.5823) and In at (0.0000, 0.1753, 0.0000).

Q: Which formula does entry 3 have?
A: Sm12Tm5In2

Q: Look up the calculated volume of the seventh one.
A: 773.9 Å³/cell